4
Lattice="-4.033 1.041 4.310 0.117 -1.560 5.786 3.134 2.458 -4.479" Properties=species:S:1:pos:R:3 comment="PBE-GGA MnTcCl2, optimized geometry" vol_a3_per_cell=70.9 de_polymorph_mev_per_atom=735 dft_energy_ev_per_atom=-5.270 e_form_raw_kj_per_mol_atoms=51.8 pbc="T T T"
Mn -1.958 -0.259 5.048
Tc -1.429 1.620 2.439
Cl 0.000 0.000 0.000
Cl 0.647 0.320 3.177

4
Lattice="-1.232 2.459 3.737 -2.515 -0.944 -0.208 1.098 -3.667 2.775" Properties=species:S:1:pos:R:3 comment="PBE-GGA LiTaSi2, optimized geometry" vol_a3_per_cell=59.1 de_polymorph_mev_per_atom=122 dft_energy_ev_per_atom=-6.266 e_form_raw_kj_per_mol_atoms=-10.9 pbc="T T T"
Li -1.324 -2.322 3.973
Si 0.731 -3.589 2.603
Si -0.602 0.038 2.658
Ta -1.065 -2.250 1.130

4
Lattice="3.282 0.000 0.000 0.000 3.282 0.000 0.000 0.000 5.953" Properties=species:S:1:pos:R:3 comment="PBE-GGA MgCuW2, optimized geometry" vol_a3_per_cell=64.1 dft_energy_ev_per_atom=-7.220 formation_enthalpy_0k_mev_per_atom=679 pbc="T T T"
Cu 1.641 1.641 1.488
Mg 1.641 1.641 4.464
W 0.000 0.000 0.266
W 0.000 0.000 2.710

20
Lattice="-1.972 0.123 -3.505 4.255 -7.627 -2.662 -6.725 -5.011 3.609" Properties=species:S:1:pos:R:3 comment="PBE-GGA Cu2Hg2Pd5Au, optimized geometry" vol_a3_per_cell=335.4 dft_energy_ev_per_atom=-3.808 formation_enthalpy_0k_mev_per_atom=-4 pbc="T T T"
Cu -3.670 -4.079 1.922
Cu 1.200 -8.560 -0.975
Cu -3.231 -9.150 1.498
Cu 0.761 -3.488 -0.550
Hg 1.705 -5.976 -1.169
Hg -4.175 -6.663 2.116
Hg -1.484 -2.953 0.732
Hg -0.986 -9.685 0.215
Pd -0.704 -1.870 -1.979
Pd -3.738 -10.646 -0.579
Pd -6.022 -4.593 0.919
Pd -0.816 -7.352 -2.108
Pd 1.579 -7.922 -3.476
Pd -3.627 -5.164 -0.449
Pd -3.200 -7.889 -0.785
Pd -1.243 -4.627 -1.772
Pd 1.141 -3.752 -3.083
Pd -4.349 -2.444 0.052
Au 0.000 0.000 0.000
Au -1.235 -6.319 0.474